First-principles (PBE) data for a relaxed structure of Hf2MnFeH, as listed in Alexandria.

## Properties
Calculated volume ... 12.970 Å³ per atom
Distance to the lowest polymorph of the same formula ... 0.004 eV per atom

The structure in CIF format:
```
data_Hf2MnFeH
_chemical_formula_sum 'Hf2 Mn1 Fe1 H1'
_cell_length_a 4.464
_cell_length_b 4.464
_cell_length_c 3.255
_cell_angle_alpha 90.00
_cell_angle_beta 90.00
_cell_angle_gamma 90.00
_symmetry_space_group_name_H-M 'P 4/m m m'
_symmetry_Int_Tables_number 123
_symmetry_space_group_name_Hall '-P 4 2'
loop_
_atom_site_label
_atom_site_type_symbol
_atom_site_fract_x
_atom_site_fract_y
_atom_site_fract_z
Hf1 Hf 0.000 0.500 0.000
Mn1 Mn 0.000 0.000 0.500
Fe1 Fe 0.500 0.500 0.500
H1 H 0.500 0.500 0.000
```

=====

First-principles (PBE) data for a relaxed structure of Y2Nb2Pb, as listed in Alexandria.

## Properties
Calculated volume ... 25.042 Å³ per atom
Energy of formation ... 97 meV/atom

The structure in CIF format:
```
data_Y2Nb2Pb
_chemical_formula_sum 'Y4 Nb4 Pb2'
_cell_length_a 7.528
_cell_length_b 7.528
_cell_length_c 4.418
_cell_angle_alpha 90.00
_cell_angle_beta 90.00
_cell_angle_gamma 90.00
_symmetry_space_group_name_H-M 'P 4/m b m'
_symmetry_Int_Tables_number 127
_symmetry_space_group_name_Hall '-P 4 2ab'
loop_
_atom_site_label
_atom_site_type_symbol
_atom_site_fract_x
_atom_site_fract_y
_atom_site_fract_z
Y1 Y 0.175 0.325 0.000
Nb1 Nb 0.121 0.621 0.500
Pb1 Pb 0.000 0.000 0.500
```

=====

First-principles (PBE) data for a relaxed structure of Pr2ErHg, as listed in Alexandria.

## Properties
Calculated volume ... 32.316 Å³ per atom
Energy of formation ... -127 meV/atom
Distance to the lowest polymorph of the same formula ... 0.102 eV per atom

The structure in CIF format:
```
data_Pr2ErHg
_chemical_formula_sum 'Pr6 Er3 Hg3'
_cell_length_a 3.7092
_cell_length_b 3.7092
_cell_length_c 32.5466
_cell_angle_alpha 90.00
_cell_angle_beta 90.00
_cell_angle_gamma 120.00
_symmetry_space_group_name_H-M 'R 3 m'
_symmetry_Int_Tables_number 160
_symmetry_space_group_name_Hall 'R 3 -2"'
loop_
_atom_site_label
_atom_site_type_symbol
_atom_site_fract_x
_atom_site_fract_y
_atom_site_fract_z
Pr1 Pr 0.0000 0.0000 0.0000
Pr2 Pr 0.0000 0.0000 0.1769
Er1 Er 0.0000 0.0000 0.4215
Hg1 Hg 0.0000 0.0000 0.5885
```

=====

Computed spin magnetization, in the same sequence as the records: 0.316 0.000 0.000 μB/f.u..
Computed DOS at the Fermi energy, in the same sequence as the records: 0.62 0.35 1.29 states/eV/atom.
Computed E, in the same sequence as the records: -8.416 -7.259 -3.733 eV per atom.